(1)
BeIn2Cu: optimized geometry, PBE.

The formation energy from the elements is 0.3904 eV per atom. The total magnetization is 0.000 Bohr magnetons per cell. As for the total DFT energy (no corrections): -2.934 eV per atom.

It has space group Cmmm (No. 65), with a = 5.720 Å, b = 7.436 Å, c = 3.299 Å, α = 90.00°, β = 90.00° and γ = 90.00°. The asymmetric unit holds Be at (0.000, 0.000, 0.000), In at (0.250, 0.250, 0.500) and Cu at (0.000, 0.500, 0.000).

=====

(2)
TlCr2Os: optimized geometry, PBE.

The energy above the lowest structure with this stoichiometry is 0.000 eV per atom. The formation energy from the elements is 0.4828 eV per atom. The total magnetization is 4.734 Bohr magnetons per cell. As for the total DFT energy (no corrections): -7.728 eV per atom.

It has space group P4/mmm (No. 123), with a = 2.923 Å, b = 2.923 Å, c = 7.602 Å, α = 90.00°, β = 90.00° and γ = 90.00°. The asymmetric unit holds Tl at (0.000, 0.000, 0.000), Cr at (0.500, 0.500, 0.290) and Os at (0.000, 0.000, 0.500).

=====

(3)
Ho5Tm2In4: optimized geometry, PBE.

The energy above the lowest structure with this stoichiometry is 0.000 eV per atom. The formation energy from the elements is -0.2331 eV per atom. The total magnetization is 0.002 Bohr magnetons per cell. As for the total DFT energy (no corrections): -4.123 eV per atom.

It has space group P2/m (No. 10), with a = 8.560 Å, b = 3.392 Å, c = 10.474 Å, α = 90.00°, β = 96.12° and γ = 90.00°. The asymmetric unit holds Ho at (0.000, 0.000, 0.000), Ho at (0.035, 0.000, 0.332), Ho at (0.337, 0.000, 0.855), Tm at (0.415, 0.000, 0.360), In at (0.255, 0.500, 0.575) and In at (0.302, 0.500, 0.117).

=====

(4)
FeTc2Ni: optimized geometry, PBE.

The energy above the lowest structure with this stoichiometry is 0.101 eV per atom. The formation energy from the elements is 0.0798 eV per atom. The total magnetization is 4.438 Bohr magnetons per cell. As for the total DFT energy (no corrections): -8.664 eV per atom.

It has space group Cm (No. 8), with a = 8.752 Å, b = 2.610 Å, c = 4.591 Å, α = 90.00°, β = 99.12° and γ = 90.00°. The asymmetric unit holds Fe at (0.000, 0.000, 0.000), Tc at (0.009, 0.500, 0.518), Tc at (0.247, 0.500, 0.256) and Ni at (0.255, 0.000, 0.769).